SrHfTa2 | GGA-PBE | optimized geometry

```
SrHfTa2
1.0
4.7441 0.0000 0.0000
0.0000 4.7441 0.0000
0.0000 0.0000 20.2907
Sr Hf Ta
4 4 8
direct
0.0000 0.0000 0.0000
0.0000 0.5000 0.2500
0.5000 0.0000 0.7500
0.5000 0.5000 0.5000
0.0000 0.0000 0.5000
0.0000 0.5000 0.7500
0.5000 0.0000 0.2500
0.5000 0.5000 0.0000
0.1171 0.2500 0.6250
0.2500 0.6171 0.8750
0.2500 0.8829 0.3750
0.3829 0.2500 0.1250
0.6171 0.7500 0.1250
0.7500 0.1171 0.3750
0.7500 0.3829 0.8750
0.8829 0.7500 0.6250
```

- Relative energy among the computed polymorphs: 319.3 meV per atom
- ΔH_f (0 K): 1372 meV/atom